Record 1
The following is a DFT calculation (PBE) of a geometry-optimized PuMoOs structure.

Results
The crystal system is cubic. For the total magnetization, the calculation gives 14.068 μB/cell.

abc: 6.144 6.144 6.144
angles: 90.00 90.00 90.00
Space group F-43m (No. 216)
Inequivalent atoms, fractional coordinates:
Pu 0.000 0.000 0.000 x4
Mo 0.250 0.250 0.750 x4
Os 0.250 0.250 0.250 x4

---

Record 2
The following is a DFT calculation (PBE) of a geometry-optimized PuMoOs structure.

Results
The crystal system is cubic. For the total magnetization, the calculation gives 19.580 μB/cell.

abc: 6.182 6.182 6.182
angles: 90.00 90.00 90.00
Space group F-43m (No. 216)
Inequivalent atoms, fractional coordinates:
Pu 0.000 0.000 0.000 x4
Mo 0.000 0.000 0.500 x4
Os 0.250 0.250 0.750 x4

---

Record 3
The following is a DFT calculation (PBE) of a geometry-optimized RbMoOs structure.

Results
The crystal system is cubic. For the total magnetization, the calculation gives 0.007 μB/cell.

abc: 6.384 6.384 6.384
angles: 90.00 90.00 90.00
Space group F-43m (No. 216)
Inequivalent atoms, fractional coordinates:
Rb 0.000 0.000 0.000 x4
Mo 0.250 0.250 0.750 x4
Os 0.000 0.000 0.500 x4

---

Record 4
The following is a DFT calculation (PBE) of a geometry-optimized RbMoOs structure.

Results
The crystal system is cubic. For the total magnetization, the calculation gives 5.359 μB/cell.

abc: 6.519 6.519 6.519
angles: 90.00 90.00 90.00
Space group F-43m (No. 216)
Inequivalent atoms, fractional coordinates:
Rb 0.000 0.000 0.000 x4
Mo 0.250 0.250 0.750 x4
Os 0.250 0.250 0.250 x4

---

Record 5
The following is a DFT calculation (PBE) of a geometry-optimized Re2Mo2Os structure.

Results
The crystal system is tetragonal. For the total magnetization, the calculation gives 0.471 μB/cell.

abc: 4.028 4.028 10.797
angles: 90.00 90.00 90.00
Space group I4/mmm (No. 139)
Inequivalent atoms, fractional coordinates:
Re 0.000 0.000 0.109 x4
Mo 0.000 0.500 0.250 x4
Os 0.000 0.000 0.500 x2

---

Record 6
The following is a DFT calculation (PBE) of a geometry-optimized Re2MoOs2 structure.

Results
The crystal system is tetragonal. For the total magnetization, the calculation gives 0.016 μB/cell.

abc: 3.857 3.857 11.312
angles: 90.00 90.00 90.00
Space group I4/mmm (No. 139)
Inequivalent atoms, fractional coordinates:
Re 0.000 0.500 0.250 x4
Mo 0.000 0.000 0.000 x2
Os 0.000 0.000 0.395 x4

---

Record 7
The following is a DFT calculation (PBE) of a geometry-optimized ScMoOs structure.

Results
The crystal system is cubic. For the total magnetization, the calculation gives 0.012 μB/cell.

abc: 6.131 6.131 6.131
angles: 90.00 90.00 90.00
Space group F-43m (No. 216)
Inequivalent atoms, fractional coordinates:
Sc 0.000 0.000 0.000 x4
Mo 0.000 0.000 0.500 x4
Os 0.250 0.250 0.750 x4

---

Record 8
The following is a DFT calculation (PBE) of a geometry-optimized Si2Mo3Os2 structure.

Results
The crystal system is trigonal. For the total magnetization, the calculation gives 0.013 μB/cell.

abc: 4.2931 4.2931 20.5261
angles: 90.00 90.00 120.00
Space group R3m (No. 160, hexagonal axes)
Inequivalent atoms, fractional coordinates:
Si 0.0000 0.0000 0.0000 x3
Si 0.0000 0.0000 0.4761 x3
Mo 0.0000 0.0000 0.3515 x3
Mo 0.0000 0.0000 0.6100 x3
Mo 0.0000 0.0000 0.8633 x3
Os 0.0000 0.0000 0.2126 x3
Os 0.0000 0.0000 0.7433 x3

---

| no. | DFT total energy (eV/atom) |
| --- | --- |
| 1 | -11.24 |
| 2 | -11.55 |
| 3 | -5.64 |
| 4 | -4.19 |
| 5 | -10.49 |
| 6 | -10.95 |
| 7 | -9.32 |
| 8 | -9.23 |